A plane-wave DFT calculation with PBE was carried out for Nb2GaRh2 after structural relaxation.

Cell: 7.529 7.529 2.973 Å, 90.00 90.00 90.00°
Element x y z (fractional)
Nb: 0.169 0.331 0.000
Nb: 0.331 0.831 0.000
Nb: 0.669 0.169 0.000
Nb: 0.831 0.669 0.000
Ga: 0.000 0.000 0.500
Ga: 0.500 0.500 0.500
Rh: 0.128 0.628 0.500
Rh: 0.372 0.128 0.500
Rh: 0.628 0.872 0.500
Rh: 0.872 0.372 0.500

Output
Formation energy ... -0.33 eV/atom



A plane-wave DFT calculation with PBE was carried out for Pm2ThCd3 after structural relaxation.

Cell: 3.819 3.819 11.582 Å, 90.00 90.00 90.00°
Element x y z (fractional)
Pm: 0.000 0.000 0.166
Pm: 0.000 0.000 0.834
Th: 0.000 0.000 0.500
Cd: 0.500 0.500 0.000
Cd: 0.500 0.500 0.328
Cd: 0.500 0.500 0.672

Output
Formation energy ... -0.23 eV/atom



A plane-wave DFT calculation with PBE was carried out for SbTePd2 after structural relaxation.

Cell: 4.720 4.720 5.452 Å, 102.35 102.35 54.35°
Element x y z (fractional)
Sb: 0.000 0.000 0.000
Te: 0.743 0.743 0.432
Pd: 0.081 0.081 0.533
Pd: 0.663 0.663 0.903

Output
Raw formation energy ... -26.5 kJ per mole of atoms



A plane-wave DFT calculation with PBE was carried out for HoThW4 after structural relaxation.

Cell: 5.582 5.582 5.582 Å, 60.00 60.00 60.00°
Element x y z (fractional)
Ho: 0.000 0.000 0.000
Th: 0.250 0.250 0.250
W: 0.126 0.625 0.625
W: 0.625 0.126 0.625
W: 0.625 0.625 0.126
W: 0.625 0.625 0.625

Output
Formation energy ... 0.13 eV/atom



A plane-wave DFT calculation with PBE was carried out for Ta2GaIrPb after structural relaxation.

Cell: 4.742 4.742 4.951 Å, 90.00 90.00 90.00°
Element x y z (fractional)
Ta: 0.000 0.500 0.000
Ta: 0.500 0.000 0.000
Ga: 0.000 0.000 0.000
Ir: 0.500 0.500 0.500
Pb: 0.000 0.000 0.500

Output
Formation energy ... 1.62 eV/atom
Energy above the most stable polymorph in this dataset ... 533 meV/atom



A plane-wave DFT calculation with PBE was carried out for CsDyPb2 after structural relaxation.

Cell: 4.160 4.160 8.654 Å, 90.00 90.00 90.00°
Element x y z (fractional)
Cs: 0.000 0.000 0.000
Dy: 0.000 0.000 0.500
Pb: 0.500 0.500 0.321
Pb: 0.500 0.500 0.679

Output
Formation energy ... -0.31 eV/atom
Energy above the most stable polymorph in this dataset ... 0 meV/atom



A plane-wave DFT calculation with PBE was carried out for SbPb3 after structural relaxation.

Cell: 3.896 3.896 8.092 Å, 90.00 90.00 90.00°
Element x y z (fractional)
Sb: 0.000 0.000 0.000
Pb: 0.000 0.000 0.500
Pb: 0.500 0.500 0.230
Pb: 0.500 0.500 0.770

Output
Raw formation energy ... 6.4 kJ per mole of atoms



A plane-wave DFT calculation with PBE was carried out for Tb3Ni9Ge2 after structural relaxation.

Cell: 7.699 7.699 7.699 Å, 150.00 109.06 78.90°
Element x y z (fractional)
Tb: 0.000 0.000 0.000
Tb: 0.307 0.307 0.000
Tb: 0.693 0.693 0.000
Ni: 0.034 0.678 0.356
Ni: 0.160 0.882 0.278
Ni: 0.323 0.678 0.644
Ni: 0.396 0.118 0.278
Ni: 0.500 0.000 0.500
Ni: 0.604 0.882 0.722
Ni: 0.677 0.322 0.356
Ni: 0.840 0.118 0.722
Ni: 0.966 0.322 0.644
Ge: 0.276 0.500 0.776
Ge: 0.724 0.500 0.224

Output
Formation energy ... -0.39 eV/atom



A plane-wave DFT calculation with PBE was carried out for Ca2ScAu4 after structural relaxation.

Cell: 7.551 7.551 7.551 Å, 141.44 141.44 55.68°
Element x y z (fractional)
Ca: 0.232 0.232 0.000
Ca: 0.768 0.768 0.000
Sc: 0.500 0.500 0.000
Au: 0.109 0.609 0.500
Au: 0.391 0.891 0.500
Au: 0.609 0.109 0.500
Au: 0.891 0.391 0.500

Output
Formation energy ... -0.63 eV/atom



A plane-wave DFT calculation with PBE was carried out for CaGeBi after structural relaxation.

Cell: 8.713 4.686 8.787 Å, 90.00 90.00 90.00°
Element x y z (fractional)
Ca: 0.065 0.250 0.192
Ca: 0.435 0.750 0.692
Ca: 0.565 0.250 0.308
Ca: 0.935 0.750 0.808
Ge: 0.057 0.250 0.546
Ge: 0.443 0.750 0.046
Ge: 0.557 0.250 0.954
Ge: 0.943 0.750 0.454
Bi: 0.211 0.250 0.836
Bi: 0.289 0.750 0.336
Bi: 0.711 0.250 0.664
Bi: 0.789 0.750 0.164

Output
Formation energy ... -0.35 eV/atom
Energy above the most stable polymorph in this dataset ... 86 meV/atom



A plane-wave DFT calculation with PBE was carried out for NaSrS2N after structural relaxation.

Cell: 5.700 5.700 5.021 Å, 90.00 90.00 90.00°
Element x y z (fractional)
Na: 0.000 0.000 0.000
Sr: 0.500 0.500 0.500
S: 0.000 0.500 0.500
S: 0.500 0.000 0.500
N: 0.500 0.500 0.000

Output
Raw formation energy ... 30.2 kJ per mole of atoms
Energy above the most stable polymorph in this dataset ... 125 meV/atom



A plane-wave DFT calculation with PBE was carried out for CdIn2GaI after structural relaxation.

Cell: 5.654 5.654 5.177 Å, 90.00 90.00 90.00°
Element x y z (fractional)
Cd: 0.000 0.000 0.000
In: 0.000 0.500 0.500
In: 0.500 0.000 0.500
Ga: 0.000 0.000 0.500
I: 0.500 0.500 0.000

Output
Raw formation energy ... -0.7 kJ per mole of atoms



The records above yield calculated volume values of 16.85, 28.15, 23.95, 20.50, 22.27, 37.44, 30.71, 15.12, 23.72, 29.89, 32.62, 33.10 Å³/atom, respectively.